No. 1
# Re2NiRh

A relaxed Re2NiRh crystal (PBE-GGA, Alexandria via LeMat-Bulk).

Summary:
Its crystal system is tetragonal.

Structure (CIF):
```
data_Re2NiRh
_cell_length_a 2.7134
_cell_length_b 2.7134
_cell_length_c 7.5352
_cell_angle_alpha 90.00
_cell_angle_beta 90.00
_cell_angle_gamma 90.00
_space_group_name_H-M_alt 'P 1'
_space_group_IT_number 1
loop_
_space_group_symop_operation_xyz
'x,y,z'
loop_
_atom_site_label
_atom_site_type_symbol
_atom_site_fract_x
_atom_site_fract_y
_atom_site_fract_z
Ni1 Ni 0.5000 0.5000 0.7560
Re1 Re 0.0000 0.0000 0.9803
Re2 Re 0.5000 0.5000 0.2598
Rh1 Rh 0.0000 0.0000 0.5040
```



No. 2
# Ac7Ag2Os2

A relaxed Ac7Ag2Os2 crystal (PBE-GGA, Alexandria via LeMat-Bulk).

Summary:
Its crystal system is monoclinic.

Structure (CIF):
```
data_Ac7Ag2Os2
_cell_length_a 7.5883
_cell_length_b 7.4219
_cell_length_c 7.4219
_cell_angle_alpha 70.38
_cell_angle_beta 89.96
_cell_angle_gamma 89.96
_space_group_name_H-M_alt 'P 1'
_space_group_IT_number 1
loop_
_space_group_symop_operation_xyz
'x,y,z'
loop_
_atom_site_label
_atom_site_type_symbol
_atom_site_fract_x
_atom_site_fract_y
_atom_site_fract_z
Ac1 Ac 0.2526 0.9998 0.4997
Ac2 Ac 0.7474 0.5003 0.0002
Ac3 Ac 0.7474 0.0002 0.5003
Ac4 Ac 0.2526 0.4997 0.9998
Ac5 Ac 0.0000 0.0000 0.0000
Ac6 Ac 0.7549 0.5002 0.5002
Ac7 Ac 0.2451 0.4998 0.4998
Ag1 Ag 0.5000 0.8315 0.1685
Ag2 Ag 0.5000 0.1685 0.8315
Os1 Os 0.0000 0.7006 0.7006
Os2 Os 0.0000 0.2994 0.2994
```



No. 3
# PmGa2Au3

A relaxed PmGa2Au3 crystal (PBE-GGA, Alexandria via LeMat-Bulk).

Summary:
Its crystal system is monoclinic.

Structure (CIF):
```
data_PmGa2Au3
_cell_length_a 4.5703
_cell_length_b 9.2561
_cell_length_c 6.8049
_cell_angle_alpha 119.63
_cell_angle_beta 90.00
_cell_angle_gamma 104.29
_space_group_name_H-M_alt 'P 1'
_space_group_IT_number 1
loop_
_space_group_symop_operation_xyz
'x,y,z'
loop_
_atom_site_label
_atom_site_type_symbol
_atom_site_fract_x
_atom_site_fract_y
_atom_site_fract_z
Pm1 Pm 0.8768 0.7535 0.9324
Pm2 Pm 0.1232 0.2465 0.0676
Ga1 Ga 0.4897 0.9794 0.7824
Ga2 Ga 0.5103 0.0206 0.2176
Ga3 Ga 0.7730 0.5461 0.2189
Ga4 Ga 0.2270 0.4539 0.7811
Au1 Au 0.3105 0.6209 0.5609
Au2 Au 0.9358 0.8716 0.5671
Au3 Au 0.6415 0.2830 0.7819
Au4 Au 0.3585 0.7170 0.2181
Au5 Au 0.0642 0.1284 0.4329
Au6 Au 0.6895 0.3791 0.4391
```



no.,formation energy from the elements (eV per atom),volume (Å³/cell)
1,0.0105,55
2,-0.0375,394
3,-0.5492,240